# 1
Material: Sr2TlZnF8
Method: DFT, PBE
State: optimized geometry

The calculated total energy is -57.0 eV/cell. The crystal system is monoclinic. Its total magnetic moment is 0.000 μB/atom. The value obtained for the density of states at the Fermi level is 1.3 states/eV per cell. The calculation puts the theoretical density at 5.33 Mg/m³.

The space group is P2/m (No. 10) and the conventional cell measures 4.1968, 8.0014 and 5.5767 Å, with angles of 90.00, 96.46 and 90.00 degrees. The distinct sites, in fractional coordinates, are Sr at (0.0000, 0.2382, 0.0000), Tl at (0.5000, 0.5000, 0.5000), Zn at (0.5000, 0.0000, 0.5000), F at (0.0040, 0.5000, 0.7471), F at (0.0921, 0.0000, 0.2767) and F at (0.4525, 0.2247, 0.7374).

# 2
Material: SrTl2ZnF6
Method: DFT, PBE
State: optimized geometry

The calculated total energy is -44.6 eV/cell. The crystal system is triclinic. Its total magnetic moment is 0.000 μB/atom. The value obtained for the density of states at the Fermi level is 0.0 states/eV per cell. The calculation puts the theoretical density at 6.36 Mg/m³.

The space group is P-1 (No. 2) and the conventional cell measures 6.2336, 6.2368 and 6.3350 Å, with angles of 119.02, 90.35 and 119.90 degrees. The distinct sites, in fractional coordinates, are Sr at (0.0000, 0.0000, 0.0000), Tl at (0.2445, 0.4892, 0.7326), Zn at (0.5000, 0.0000, 0.5000), F at (0.2263, 0.9926, 0.6902), F at (0.2750, 0.9448, 0.2111) and F at (0.2977, 0.5353, 0.3076).

# 3
Material: SrTl4Zn3F12
Method: DFT, PBE
State: optimized geometry

The calculated total energy is -168.0 eV/cell. The crystal system is cubic. Its total magnetic moment is 0.000 μB/atom. The value obtained for the density of states at the Fermi level is 0.0 states/eV per cell. The calculation puts the theoretical density at 6.75 Mg/m³.

The space group is Im-3m (No. 229) and the conventional cell measures 8.6789, 8.6789 and 8.6789 Å, with angles of 90.00, 90.00 and 90.00 degrees. The distinct sites, in fractional coordinates, are Sr at (0.0000, 0.0000, 0.0000), Tl at (0.2500, 0.2500, 0.2500), Zn at (0.0000, 0.0000, 0.5000), F at (0.0000, 0.0000, 0.2716) and F at (0.0000, 0.2500, 0.5000).

# 4
Material: SrTl3Zn2F9
Method: DFT, PBE
State: optimized geometry

The calculated total energy is -64.4 eV/cell. The crystal system is trigonal. Its total magnetic moment is 0.000 μB/atom. The value obtained for the density of states at the Fermi level is 0.0 states/eV per cell. The calculation puts the theoretical density at 6.55 Mg/m³.

The space group is P-3m1 (No. 164) and the conventional cell measures 6.1215, 6.1215 and 7.8329 Å, with angles of 90.00, 90.00 and 120.00 degrees. The distinct sites, in fractional coordinates, are Sr at (0.0000, 0.0000, 0.0000), Tl at (0.0000, 0.0000, 0.5000), Tl at (0.3333, 0.6667, 0.2132), Zn at (0.3333, 0.6667, 0.6597), F at (0.0000, 0.5000, 0.5000) and F at (0.1741, 0.3482, 0.8028).

# 5
Material: SrZrTlF2
Method: DFT, PBE
State: optimized geometry

The calculated total energy is -24.8 eV/cell. The crystal system is tetragonal. Its total magnetic moment is 0.000 μB/atom. The value obtained for the density of states at the Fermi level is 3.1 states/eV per cell. The calculation puts the theoretical density at 5.89 Mg/m³.

The space group is P4/mmm (No. 123) and the conventional cell measures 4.4803, 4.4803 and 5.9119 Å, with angles of 90.00, 90.00 and 90.00 degrees. The distinct sites, in fractional coordinates, are Sr at (0.0000, 0.0000, 0.0000), Zr at (0.5000, 0.5000, 0.5000), Tl at (0.5000, 0.5000, 0.0000) and F at (0.0000, 0.5000, 0.5000).

# 6
Material: SrTmF6
Method: DFT, PBE
State: optimized geometry

The calculated total energy is -89.5 eV/cell. The crystal system is orthorhombic. Its total magnetic moment is 0.129 μB/atom. The calculation puts the theoretical density at 5.16 Mg/m³.

The space group is Amm2 (No. 38) and the conventional cell measures 3.9590, 7.3422 and 8.2035 Å, with angles of 90.00, 90.00 and 90.00 degrees. The distinct sites, in fractional coordinates, are Sr at (0.0000, 0.0000, 0.0000), Tm at (0.5000, 0.0000, 0.4466), F at (0.0000, 0.0000, 0.3554), F at (0.0000, 0.1328, 0.6500), F at (0.5000, 0.0000, 0.1857) and F at (0.5000, 0.2085, 0.9251).

# 7
Material: SrTmF5
Method: DFT, PBE
State: optimized geometry

The calculated total energy is -176.5 eV/cell. The crystal system is monoclinic. Its total magnetic moment is 0.000 μB/atom. The value obtained for the density of states at the Fermi level is 0.0 states/eV per cell. The calculation puts the theoretical density at 6.08 Mg/m³.

The space group is C2/c (No. 15) and the conventional cell measures 4.2862, 15.7018 and 5.7116 Å, with angles of 90.00, 93.30 and 90.00 degrees. The distinct sites, in fractional coordinates, are Sr at (0.0000, 0.1757, 0.2500), Tm at (0.0000, 0.4246, 0.2500), F at (0.0000, 0.1206, 0.7500), F at (0.0086, 0.3124, 0.0048) and F at (0.2308, 0.4627, 0.6002).

# 8
Material: Sr2UF8
Method: DFT, PBE
State: optimized geometry

The calculated total energy is -142.5 eV/cell. The crystal system is monoclinic. Its total magnetic moment is 0.182 μB/atom. The value obtained for the density of states at the Fermi level is 5.4 states/eV per cell. The calculation puts the theoretical density at 5.85 Mg/m³.

The space group is C2/m (No. 12) and the conventional cell measures 14.5963, 4.1162 and 5.6571 Å, with angles of 90.00, 109.15 and 90.00 degrees. The distinct sites, in fractional coordinates, are Sr at (0.1819, 0.0000, 0.1834), U at (0.0000, 0.5000, 0.5000), F at (0.0257, 0.0000, 0.3117), F at (0.0881, 0.5000, 0.8965), F at (0.1464, 0.5000, 0.4428) and F at (0.2181, 0.0000, 0.7958).

Repeat the second record exactly.
Material: SrTl2ZnF6
Method: DFT, PBE
State: optimized geometry

The calculated total energy is -44.6 eV/cell. The crystal system is triclinic. Its total magnetic moment is 0.000 μB/atom. The value obtained for the density of states at the Fermi level is 0.0 states/eV per cell. The calculation puts the theoretical density at 6.36 Mg/m³.

The space group is P-1 (No. 2) and the conventional cell measures 6.2336, 6.2368 and 6.3350 Å, with angles of 119.02, 90.35 and 119.90 degrees. The distinct sites, in fractional coordinates, are Sr at (0.0000, 0.0000, 0.0000), Tl at (0.2445, 0.4892, 0.7326), Zn at (0.5000, 0.0000, 0.5000), F at (0.2263, 0.9926, 0.6902), F at (0.2750, 0.9448, 0.2111) and F at (0.2977, 0.5353, 0.3076).

Look up the calculated total energy of the first one.
-57.0 eV/cell

calculated total energy of number 1 (Sr2TlZnF8)?
-57.0 eV/cell

Number 3 is which compound?
SrTl4Zn3F12